i:
Below is CeNiHg after structural relaxation, with properties calculated at the PBE-GGA level.

Summary:
Fermi-level density of states	1.518	states/eV/atom
total magnetic moment	2.0	μB/cell

a b c (Å): 3.3048 3.3048 11.3137
angles (deg): 90.00 90.00 90.00
Space group I4mm (No. 107)
Inequivalent atoms, fractional coordinates:
Ce  0.0000  0.0000  0.0000 [2 per cell]
Ni  0.0000  0.0000  0.6464 [2 per cell]
Hg  0.0000  0.0000  0.2879 [2 per cell]

---

ii:
Below is CeNiHg after structural relaxation, with properties calculated at the PBE-GGA level.

Summary:
Fermi-level density of states	1.172	states/eV/atom
total magnetic moment	0.1	μB/cell

a b c (Å): 4.6122 4.6122 3.4561
angles (deg): 90.00 90.00 120.00
Space group P-6m2 (No. 187)
Inequivalent atoms, fractional coordinates:
Ce  0.0000  0.0000  0.0000 [1 per cell]
Ni  0.3333  0.6667  0.5000 [1 per cell]
Hg  0.6667  0.3333  0.5000 [1 per cell]

---

The most stable arrangement is ii, and the next structure is 62 meV/atom less stable.

---

i:
Below is CeNi2Hg after structural relaxation, with properties calculated at the PBE-GGA level.

Summary:
Fermi-level density of states	1.100	states/eV/atom
total magnetic moment	0.6	μB/cell

a b c (Å): 4.5470 4.5470 12.4195
angles (deg): 90.00 90.00 120.00
Space group R-3m (No. 166, hexagonal axes)
Inequivalent atoms, fractional coordinates:
Ce  0.0000  0.0000  0.0000 [3 per cell]
Ni  0.0000  0.0000  0.2107 [6 per cell]
Hg  0.0000  0.0000  0.5000 [3 per cell]

---

ii:
Below is CeNi2Hg after structural relaxation, with properties calculated at the PBE-GGA level.

Summary:
Fermi-level density of states	0.911	states/eV/atom
total magnetic moment	0.0	μB/cell

a b c (Å): 3.3154 3.3154 6.4737
angles (deg): 90.00 90.00 90.00
Space group P4/mmm (No. 123)
Inequivalent atoms, fractional coordinates:
Ce  0.0000  0.0000  0.0000 [1 per cell]
Ni  0.5000  0.5000  0.2712 [2 per cell]
Hg  0.0000  0.0000  0.5000 [1 per cell]

---

The most stable arrangement is i, and the next structure is 144 meV/atom less stable.

---

i:
Below is Ce2NiHg after structural relaxation, with properties calculated at the PBE-GGA level.

Summary:
Fermi-level density of states	2.762	states/eV/atom
total magnetic moment	4.8	μB/cell

a b c (Å): 3.8504 3.8504 24.5580
angles (deg): 90.00 90.00 120.00
Space group R-3m (No. 166, hexagonal axes)
Inequivalent atoms, fractional coordinates:
Ce  0.0000  0.0000  0.2336 [6 per cell]
Ni  0.0000  0.0000  0.5000 [3 per cell]
Hg  0.0000  0.0000  0.0000 [3 per cell]

---

ii:
Below is Ce2NiHg after structural relaxation, with properties calculated at the PBE-GGA level.

Summary:
Fermi-level density of states	1.987	states/eV/atom
total magnetic moment	0.8	μB/cell

a b c (Å): 3.6199 3.6199 7.0760
angles (deg): 90.00 90.00 90.00
Space group P4/mmm (No. 123)
Inequivalent atoms, fractional coordinates:
Ce  0.0000  0.0000  0.1989 [2 per cell]
Ni  0.5000  0.5000  0.0000 [1 per cell]
Hg  0.5000  0.5000  0.5000 [1 per cell]

---

iii:
Below is Ce2NiHg after structural relaxation, with properties calculated at the PBE-GGA level.

Summary:
Fermi-level density of states	1.859	states/eV/atom
total magnetic moment	0.0	μB/cell

a b c (Å): 4.5142 4.5142 4.3895
angles (deg): 90.00 90.00 90.00
Space group P4/mmm (No. 123)
Inequivalent atoms, fractional coordinates:
Ce  0.0000  0.5000  0.0000 [2 per cell]
Ni  0.0000  0.0000  0.5000 [1 per cell]
Hg  0.5000  0.5000  0.5000 [1 per cell]

---

The most stable arrangement is ii, and the next structure is 91 meV/atom less stable.

---

i:
Below is CeHgO after structural relaxation, with properties calculated at the PBE-GGA level.

Summary:
Fermi-level density of states	1.592	states/eV/atom
total magnetic moment	2.2	μB/cell

a b c (Å): 3.8151 3.8151 17.0375
angles (deg): 90.00 90.00 90.00
Space group I4/mmm (No. 139)
Inequivalent atoms, fractional coordinates:
Ce  0.0000  0.0000  0.0837 [4 per cell]
Hg  0.0000  0.0000  0.2992 [4 per cell]
O  0.0000  0.5000  0.0000 [4 per cell]

---

ii:
Below is CeHgO after structural relaxation, with properties calculated at the PBE-GGA level.

Summary:
Fermi-level density of states	1.621	states/eV/atom
total magnetic moment	1.1	μB/cell

a b c (Å): 4.0091 4.0091 7.8508
angles (deg): 90.00 90.00 90.00
Space group P4/nmm (No. 129, origin choice 2)
Inequivalent atoms, fractional coordinates:
Ce  0.2500  0.2500  0.1512 [2 per cell]
Hg  0.2500  0.2500  0.6013 [2 per cell]
O  0.2500  0.7500  0.0000 [2 per cell]

---

iii:
Below is CeHgO after structural relaxation, with properties calculated at the PBE-GGA level.

Summary:
Fermi-level density of states	1.436	states/eV/atom
total magnetic moment	1.2	μB/cell

a b c (Å): 3.8862 3.8862 5.3718
angles (deg): 90.00 90.00 120.00
Space group P-6m2 (No. 187)
Inequivalent atoms, fractional coordinates:
Ce  0.0000  0.0000  0.0000 [1 per cell]
Hg  0.3333  0.6667  0.5000 [1 per cell]
O  0.6667  0.3333  0.0000 [1 per cell]

---

The most stable arrangement is ii, and the next structure is 247 meV/atom less stable.

---

i:
Below is Ce4HgOs after structural relaxation, with properties calculated at the PBE-GGA level.

Summary:
Fermi-level density of states	2.421	states/eV/atom
total magnetic moment	5.6	μB/cell

a b c (Å): 8.7085 12.2818 5.9349
angles (deg): 90.00 108.12 90.00
Space group C2/c (No. 15)
Inequivalent atoms, fractional coordinates:
Ce  0.1251  0.1898  0.0779 [8 per cell]
Ce  0.2281  0.3974  0.3488 [8 per cell]
Hg  0.0000  0.3956  0.7500 [4 per cell]
Os  0.0000  0.0032  0.7500 [4 per cell]

---

ii:
Below is Ce4HgOs after structural relaxation, with properties calculated at the PBE-GGA level.

Summary:
Fermi-level density of states	3.573	states/eV/atom
total magnetic moment	57.0	μB/cell

a b c (Å): 13.7094 13.7094 13.7094
angles (deg): 90.00 90.00 90.00
Space group F-43m (No. 216)
Inequivalent atoms, fractional coordinates:
Ce  0.0000  0.0000  0.1928 [24 per cell]
Ce  0.0565  0.2500  0.7500 [24 per cell]
Ce  0.1511  0.1511  0.3489 [16 per cell]
Hg  0.0822  0.0822  0.5822 [16 per cell]
Os  0.1383  0.1383  0.1383 [16 per cell]

---

The most stable arrangement is i, and the next structure is 18 meV/atom less stable.

---

i:
Below is Ce3HgOs after structural relaxation, with properties calculated at the PBE-GGA level.

Summary:
Fermi-level density of states	3.558	states/eV/atom
total magnetic moment	2.9	μB/cell

a b c (Å): 5.4054 5.4054 5.4054
angles (deg): 90.00 90.00 90.00
Space group Pm-3m (No. 221)
Inequivalent atoms, fractional coordinates:
Ce  0.0000  0.0000  0.5000 [3 per cell]
Hg  0.5000  0.5000  0.5000 [1 per cell]
Os  0.0000  0.0000  0.0000 [1 per cell]

---

ii:
Below is Ce3HgOs after structural relaxation, with properties calculated at the PBE-GGA level.

Summary:
Fermi-level density of states	2.452	states/eV/atom
total magnetic moment	5.8	μB/cell

a b c (Å): 11.6003 5.5188 8.8333
angles (deg): 90.00 110.41 90.00
Space group C2/m (No. 12)
Inequivalent atoms, fractional coordinates:
Ce  0.1293  0.0000  0.2722 [4 per cell]
Ce  0.1325  0.5000  0.9409 [4 per cell]
Ce  0.1338  0.0000  0.6297 [4 per cell]
Hg  0.0923  0.5000  0.4197 [4 per cell]
Os  0.1066  0.0000  0.9396 [4 per cell]

---

iii:
Below is Ce3HgOs after structural relaxation, with properties calculated at the PBE-GGA level.

Summary:
Fermi-level density of states	2.295	states/eV/atom
total magnetic moment	5.0	μB/cell

a b c (Å): 16.0558 3.7369 8.3140
angles (deg): 90.00 93.43 90.00
Space group C2/m (No. 12)
Inequivalent atoms, fractional coordinates:
Ce  0.0885  0.0000  0.0535 [4 per cell]
Ce  0.1475  0.0000  0.4955 [4 per cell]
Ce  0.1974  0.5000  0.8511 [4 per cell]
Hg  0.0067  0.5000  0.6967 [4 per cell]
Os  0.1916  0.5000  0.2667 [4 per cell]

---

The most stable arrangement is iii, and the next structure is 22 meV/atom less stable.

---

i:
Below is Ce2HgOs after structural relaxation, with properties calculated at the PBE-GGA level.

Summary:
Fermi-level density of states	1.890	states/eV/atom
total magnetic moment	0.0	μB/cell

a b c (Å): 3.2763 3.2763 8.7434
angles (deg): 90.00 90.00 90.00
Space group P4/mmm (No. 123)
Inequivalent atoms, fractional coordinates:
Ce  0.0000  0.0000  0.2105 [2 per cell]
Hg  0.5000  0.5000  0.5000 [1 per cell]
Os  0.5000  0.5000  0.0000 [1 per cell]

---

ii:
Below is Ce2HgOs after structural relaxation, with properties calculated at the PBE-GGA level.

Summary:
Fermi-level density of states	2.002	states/eV/atom
total magnetic moment	3.2	μB/cell

a b c (Å): 7.2345 7.2345 7.2345
angles (deg): 90.00 90.00 90.00
Space group Fm-3m (No. 225)
Inequivalent atoms, fractional coordinates:
Ce  0.2500  0.2500  0.2500 [8 per cell]
Hg  0.0000  0.0000  0.0000 [4 per cell]
Os  0.0000  0.0000  0.5000 [4 per cell]

---

The most stable arrangement is i, and the next structure is 154 meV/atom less stable.

---

i:
Below is Ce3Hg2Os after structural relaxation, with properties calculated at the PBE-GGA level.

Summary:
Fermi-level density of states	1.918	states/eV/atom
total magnetic moment	2.9	μB/cell

a b c (Å): 5.0972 15.0756 7.7978
angles (deg): 90.00 90.00 90.00
Space group Cmmm (No. 65)
Inequivalent atoms, fractional coordinates:
Ce  0.0000  0.0000  0.2329 [4 per cell]
Ce  0.0000  0.3101  0.2023 [8 per cell]
Hg  0.0000  0.1626  0.5000 [4 per cell]
Hg  0.0000  0.5000  0.0000 [2 per cell]
Hg  0.0000  0.5000  0.5000 [2 per cell]
Os  0.0000  0.1457  0.0000 [4 per cell]

---

ii:
Below is Ce3Hg2Os after structural relaxation, with properties calculated at the PBE-GGA level.

Summary:
Fermi-level density of states	3.003	states/eV/atom
total magnetic moment	9.1	μB/cell

a b c (Å): 7.6252 11.8196 7.7969
angles (deg): 90.00 103.86 90.00
Space group C2/m (No. 12)
Inequivalent atoms, fractional coordinates:
Ce  0.1861  0.0000  0.1856 [4 per cell]
Ce  0.2335  0.1837  0.7742 [8 per cell]
Hg  0.0000  0.0000  0.5000 [2 per cell]
Hg  0.0000  0.3714  0.5000 [4 per cell]
Hg  0.0000  0.5000  0.0000 [2 per cell]
Os  0.0000  0.1784  0.0000 [4 per cell]

---

The most stable arrangement is i, and the next structure is 63 meV/atom less stable.